# Al2SbIr meta-GGA SCAN single point on PBEsol structure
# * electronic total energy: -31.196 eV per atom
# * total magnetic moment: 0.000 μB per atom
data_Al2SbIr
_cell_length_a 8.338
_cell_length_b 3.081
_cell_length_c 5.634
_cell_angle_alpha 90.00
_cell_angle_beta 101.63
_cell_angle_gamma 90.00
_space_group_name_H-M_alt 'C 1 2/m 1'
_space_group_IT_number 12
loop_
_space_group_symop_operation_xyz
'x,y,z'
'-x,-y,-z'
'-x,y,-z'
'x,-y,z'
'x+1/2,y+1/2,z'
'-x+1/2,-y+1/2,-z'
'-x+1/2,y+1/2,-z'
'x+1/2,-y+1/2,z'
loop_
_atom_site_label
_atom_site_fract_x
_atom_site_fract_y
_atom_site_fract_z
_atom_site_occupancy
Al1 0.235 0.000 0.186 1
Sb1 0.000 0.000 0.500 1
Ir1 0.000 0.500 0.000 1